Record 1
VASP calculation (PBE-GGA) on crystalline ZnIn2S4 at its relaxed geometry.

The structure in CIF format:
```
data_ZnIn2S4
_chemical_formula_sum 'Zn1 In2 S4'
_cell_length_a 5.6166
_cell_length_b 5.6166
_cell_length_c 5.4795
_cell_angle_alpha 90.00
_cell_angle_beta 90.00
_cell_angle_gamma 90.00
_symmetry_space_group_name_H-M 'P 1'
_symmetry_Int_Tables_number 1
_symmetry_space_group_name_Hall 'P 1'
loop_
_atom_site_label
_atom_site_type_symbol
_atom_site_fract_x
_atom_site_fract_y
_atom_site_fract_z
Zn1 Zn 0.0000 0.0000 0.0000
In1 In 0.5000 0.0000 0.5000
In2 In 0.0000 0.5000 0.5000
S1 S 0.7435 0.2565 0.7775
S2 S 0.2565 0.2565 0.2225
S3 S 0.2565 0.7435 0.7775
S4 S 0.7435 0.7435 0.2225
```

---

Record 2
VASP calculation (PBE-GGA) on crystalline Zn2InS4 at its relaxed geometry.

The structure in CIF format:
```
data_Zn2InS4
_chemical_formula_sum 'Zn2 In1 S4'
_cell_length_a 5.4018
_cell_length_b 5.4018
_cell_length_c 5.5272
_cell_angle_alpha 90.00
_cell_angle_beta 90.00
_cell_angle_gamma 90.00
_symmetry_space_group_name_H-M 'P 1'
_symmetry_Int_Tables_number 1
_symmetry_space_group_name_Hall 'P 1'
loop_
_atom_site_label
_atom_site_type_symbol
_atom_site_fract_x
_atom_site_fract_y
_atom_site_fract_z
Zn1 Zn 0.5000 0.0000 0.5000
Zn2 Zn 0.0000 0.5000 0.5000
In1 In 0.0000 0.0000 0.0000
S1 S 0.7321 0.2679 0.7448
S2 S 0.2679 0.2679 0.2552
S3 S 0.2679 0.7321 0.7448
S4 S 0.7321 0.7321 0.2552
```

---

Record 3
VASP calculation (PBE-GGA) on crystalline ZnIn3S6 at its relaxed geometry.

The structure in CIF format:
```
data_ZnIn3S6
_chemical_formula_sum 'Zn2 In6 S12'
_cell_length_a 6.0175
_cell_length_b 9.0667
_cell_length_c 9.0667
_cell_angle_alpha 106.43
_cell_angle_beta 90.00
_cell_angle_gamma 90.00
_symmetry_space_group_name_H-M 'P 1'
_symmetry_Int_Tables_number 1
_symmetry_space_group_name_Hall 'P 1'
loop_
_atom_site_label
_atom_site_type_symbol
_atom_site_fract_x
_atom_site_fract_y
_atom_site_fract_z
Zn1 Zn 0.0295 0.2160 0.7840
Zn2 Zn 0.5295 0.7840 0.2160
In1 In 0.4039 0.9524 0.6751
In2 In 0.9039 0.6751 0.9524
In3 In 0.4983 0.3748 0.6252
In4 In 0.9983 0.6252 0.3748
In5 In 0.9039 0.0476 0.3249
In6 In 0.4039 0.3249 0.0476
S1 S 0.1933 0.6952 0.6397
S2 S 0.6933 0.6397 0.6952
S3 S 0.2030 0.4609 0.8653
S4 S 0.7030 0.8653 0.4609
S5 S 0.2021 0.0695 0.9305
S6 S 0.6550 0.2102 0.7898
S7 S 0.1550 0.7898 0.2102
S8 S 0.7021 0.9305 0.0695
S9 S 0.2030 0.1347 0.5391
S10 S 0.7030 0.5391 0.1347
S11 S 0.1933 0.3603 0.3048
S12 S 0.6933 0.3048 0.3603
```

---

Record 4
VASP calculation (PBE-GGA) on crystalline ZnIn2S at its relaxed geometry.

The structure in CIF format:
```
data_ZnIn2S
_chemical_formula_sum 'Zn1 In2 S1'
_cell_length_a 3.6062
_cell_length_b 3.6062
_cell_length_c 9.5482
_cell_angle_alpha 79.11
_cell_angle_beta 79.11
_cell_angle_gamma 60.00
_symmetry_space_group_name_H-M 'P 1'
_symmetry_Int_Tables_number 1
_symmetry_space_group_name_Hall 'P 1'
loop_
_atom_site_label
_atom_site_type_symbol
_atom_site_fract_x
_atom_site_fract_y
_atom_site_fract_z
Zn1 Zn 0.0000 0.0000 0.0000
S1 S 0.5000 0.5000 0.5000
In1 In 0.1011 0.1011 0.6966
In2 In 0.8989 0.8989 0.3034
```

---

Record 5
VASP calculation (PBE-GGA) on crystalline ZnIn5S8 at its relaxed geometry.

The structure in CIF format:
```
data_ZnIn5S8
_chemical_formula_sum 'Zn1 In5 S8'
_cell_length_a 7.7399
_cell_length_b 7.7399
_cell_length_c 7.7399
_cell_angle_alpha 60.00
_cell_angle_beta 60.00
_cell_angle_gamma 60.00
_symmetry_space_group_name_H-M 'P 1'
_symmetry_Int_Tables_number 1
_symmetry_space_group_name_Hall 'P 1'
loop_
_atom_site_label
_atom_site_type_symbol
_atom_site_fract_x
_atom_site_fract_y
_atom_site_fract_z
Zn1 Zn 0.2500 0.2500 0.2500
In1 In 0.0000 0.0000 0.0000
In2 In 0.6226 0.6226 0.1322
In3 In 0.6226 0.6226 0.6226
In4 In 0.1322 0.6226 0.6226
In5 In 0.6226 0.1322 0.6226
S1 S 0.3787 0.8638 0.3787
S2 S 0.8638 0.3787 0.3787
S3 S 0.3787 0.3787 0.3787
S4 S 0.3787 0.3787 0.8638
S5 S 0.8661 0.8661 0.4018
S6 S 0.4018 0.8661 0.8661
S7 S 0.8661 0.8661 0.8661
S8 S 0.8661 0.4018 0.8661
```

---

Record 6
VASP calculation (PBE-GGA) on crystalline ZnIn2S4 at its relaxed geometry.

The structure in CIF format:
```
data_ZnIn2S4
_chemical_formula_sum 'Zn2 In4 S8'
_cell_length_a 25.2196
_cell_length_b 25.2196
_cell_length_c 25.2196
_cell_angle_alpha 8.94
_cell_angle_beta 8.94
_cell_angle_gamma 8.94
_symmetry_space_group_name_H-M 'P 1'
_symmetry_Int_Tables_number 1
_symmetry_space_group_name_Hall 'P 1'
loop_
_atom_site_label
_atom_site_type_symbol
_atom_site_fract_x
_atom_site_fract_y
_atom_site_fract_z
Zn1 Zn 0.5076 0.5076 0.5076
Zn2 Zn 0.6752 0.6752 0.6752
In1 In 0.1128 0.1128 0.1128
In2 In 0.9461 0.9461 0.9461
In3 In 0.3931 0.3931 0.3931
In4 In 0.2262 0.2262 0.2262
S1 S 0.6270 0.6270 0.6270
S2 S 0.9134 0.9134 0.9134
S3 S 0.1676 0.1676 0.1676
S4 S 0.4604 0.4604 0.4604
S5 S 0.7097 0.7097 0.7097
S6 S 0.5429 0.5429 0.5429
S7 S 0.0016 0.0016 0.0016
S8 S 0.0802 0.0802 0.0802
```

---

Record 7
VASP calculation (PBE-GGA) on crystalline ZnInS at its relaxed geometry.

The structure in CIF format:
```
data_ZnInS
_chemical_formula_sum 'Zn2 In2 S2'
_cell_length_a 4.7367
_cell_length_b 3.7346
_cell_length_c 10.3118
_cell_angle_alpha 100.43
_cell_angle_beta 59.68
_cell_angle_gamma 90.00
_symmetry_space_group_name_H-M 'P 1'
_symmetry_Int_Tables_number 1
_symmetry_space_group_name_Hall 'P 1'
loop_
_atom_site_label
_atom_site_type_symbol
_atom_site_fract_x
_atom_site_fract_y
_atom_site_fract_z
Zn1 Zn 0.1308 0.1409 0.2819
Zn2 Zn 0.8692 0.8591 0.7181
S1 S 0.9503 0.4141 0.8283
S2 S 0.0497 0.5859 0.1717
In1 In 0.4316 0.6946 0.3892
In2 In 0.5684 0.3054 0.6108
```

---

Record 8
VASP calculation (PBE-GGA) on crystalline ZnIn2S4 at its relaxed geometry.

The structure in CIF format:
```
data_ZnIn2S4
_chemical_formula_sum 'Zn1 In2 S4'
_cell_length_a 3.9216
_cell_length_b 3.9216
_cell_length_c 12.5824
_cell_angle_alpha 90.00
_cell_angle_beta 90.00
_cell_angle_gamma 120.00
_symmetry_space_group_name_H-M 'P 1'
_symmetry_Int_Tables_number 1
_symmetry_space_group_name_Hall 'P 1'
loop_
_atom_site_label
_atom_site_type_symbol
_atom_site_fract_x
_atom_site_fract_y
_atom_site_fract_z
Zn1 Zn 0.0000 0.0000 0.7032
In1 In 0.6667 0.3333 0.3936
In2 In 0.3333 0.6667 0.0750
S1 S 0.3333 0.6667 0.7434
S2 S 0.3333 0.6667 0.2703
S3 S 0.0000 0.0000 0.4935
S4 S 0.0000 0.0000 0.9890
```

---

Record 9
VASP calculation (PBE-GGA) on crystalline ZrInS2 at its relaxed geometry.

The structure in CIF format:
```
data_ZrInS2
_chemical_formula_sum 'Zr2 In2 S4'
_cell_length_a 5.5129
_cell_length_b 5.5129
_cell_length_c 6.8411
_cell_angle_alpha 66.24
_cell_angle_beta 66.24
_cell_angle_gamma 90.00
_symmetry_space_group_name_H-M 'P 1'
_symmetry_Int_Tables_number 1
_symmetry_space_group_name_Hall 'P 1'
loop_
_atom_site_label
_atom_site_type_symbol
_atom_site_fract_x
_atom_site_fract_y
_atom_site_fract_z
S1 S 0.7369 0.7369 0.5262
S2 S 0.0131 0.5131 0.9738
S3 S 0.2631 0.2631 0.4738
S4 S 0.4869 0.9869 0.0262
Zr1 Zr 0.5000 0.5000 0.0000
Zr2 Zr 0.2500 0.7500 0.5000
In1 In 0.0000 0.0000 0.0000
In2 In 0.7500 0.2500 0.5000
```

---

Record 10
VASP calculation (PBE-GGA) on crystalline Zr6InS at its relaxed geometry.

The structure in CIF format:
```
data_Zr6InS
_chemical_formula_sum 'Zr6 In1 S1'
_cell_length_a 5.7176
_cell_length_b 5.7207
_cell_length_c 5.7197
_cell_angle_alpha 80.08
_cell_angle_beta 99.87
_cell_angle_gamma 80.07
_symmetry_space_group_name_H-M 'P 1'
_symmetry_Int_Tables_number 1
_symmetry_space_group_name_Hall 'P 1'
loop_
_atom_site_label
_atom_site_type_symbol
_atom_site_fract_x
_atom_site_fract_y
_atom_site_fract_z
Zr1 Zr 0.0703 0.3922 0.7706
Zr2 Zr 0.7707 0.9299 0.6078
Zr3 Zr 0.6077 0.2296 0.0704
Zr4 Zr 0.2293 0.0701 0.3922
Zr5 Zr 0.9297 0.6078 0.2294
Zr6 Zr 0.3923 0.7704 0.9296
In1 In 0.5000 0.5000 0.5000
S1 S 0.0000 0.0000 0.0000
```

---

Record 11
VASP calculation (PBE-GGA) on crystalline ZrInS2 at its relaxed geometry.

The structure in CIF format:
```
data_ZrInS2
_chemical_formula_sum 'Zr8 In8 S16'
_cell_length_a 18.5368
_cell_length_b 6.6173
_cell_length_c 6.6173
_cell_angle_alpha 88.22
_cell_angle_beta 100.01
_cell_angle_gamma 79.99
_symmetry_space_group_name_H-M 'P 1'
_symmetry_Int_Tables_number 1
_symmetry_space_group_name_Hall 'P 1'
loop_
_atom_site_label
_atom_site_type_symbol
_atom_site_fract_x
_atom_site_fract_y
_atom_site_fract_z
S1 S 0.0717 0.7868 0.7636
S2 S 0.4283 0.2636 0.2868
S3 S 0.9283 0.2132 0.2364
S4 S 0.5717 0.7364 0.7132
S5 S 0.7500 0.1277 0.1254
S6 S 0.7500 0.6254 0.6277
S7 S 0.2500 0.8723 0.8746
S8 S 0.2500 0.3746 0.3723
S9 S 0.4283 0.8043 0.1404
S10 S 0.0717 0.6404 0.3043
S11 S 0.5717 0.1957 0.8596
S12 S 0.9283 0.3596 0.6957
S13 S 0.7500 0.1477 0.6477
S14 S 0.2500 0.8523 0.3523
S15 S 0.7500 0.6053 0.1053
S16 S 0.2500 0.3947 0.8947
Zr1 Zr 0.3320 0.5822 0.1648
Zr2 Zr 0.1680 0.6648 0.0822
Zr3 Zr 0.6680 0.4178 0.8352
Zr4 Zr 0.8320 0.3352 0.9178
Zr5 Zr 0.3145 0.0911 0.1559
Zr6 Zr 0.1855 0.6559 0.5911
Zr7 Zr 0.6855 0.9089 0.8441
Zr8 Zr 0.8145 0.3441 0.4089
In1 In 0.0865 0.2106 0.2949
In2 In 0.4135 0.7949 0.7106
In3 In 0.9135 0.7894 0.7051
In4 In 0.5865 0.2051 0.2894
In5 In 0.4134 0.2871 0.7019
In6 In 0.0866 0.2019 0.7871
In7 In 0.5866 0.7129 0.2981
In8 In 0.9134 0.7981 0.2129
```

---

Calculated values (eV/atom) of electronic total energy for the records, taken in order: -3.949; -3.594; -3.785; -2.697; -3.971; -3.880; -2.894; -3.890; -5.651; -7.697; -5.862.